i.
The following is a DFT calculation (PBE) of an optimized crystal structure of HoEr3Pb.

Summary:
crystal system = monoclinic
calculated density = 9.97 Mg/m³

a b c (Å): 6.1883 5.4895 8.9972
angles (deg): 90.00 107.78 90.00
Sites, in units of the cell vectors:
Ho (0.0166, 0.2500, 0.3865)
Ho (0.9834, 0.7500, 0.6135)
Er (0.1618, 0.7500, 0.0060)
Er (0.2540, 0.2500, 0.7907)
Er (0.3543, 0.7500, 0.3974)
Er (0.6457, 0.2500, 0.6026)
Er (0.7460, 0.7500, 0.2093)
Er (0.8382, 0.2500, 0.9940)
Pb (0.4278, 0.2500, 0.1920)
Pb (0.5722, 0.7500, 0.8080)

---

ii.
The following is a DFT calculation (PBE) of an optimized crystal structure of HoEr3Pb.

Summary:
crystal system = monoclinic
calculated density = 9.56 Mg/m³

a b c (Å): 8.9389 8.4709 9.4034
angles (deg): 90.00 121.52 90.00
Sites, in units of the cell vectors:
Ho (0.2091, 0.0627, 0.2875)
Ho (0.2091, 0.4373, 0.7875)
Ho (0.7909, 0.5627, 0.2125)
Ho (0.7909, 0.9373, 0.7125)
Er (0.0757, 0.6921, 0.0382)
Er (0.0757, 0.8079, 0.5382)
Er (0.2133, 0.0633, 0.9265)
Er (0.2133, 0.4367, 0.4265)
Er (0.4108, 0.0846, 0.7047)
Er (0.4108, 0.4154, 0.2047)
Er (0.5892, 0.5846, 0.7953)
Er (0.5892, 0.9154, 0.2953)
Er (0.7867, 0.5633, 0.5735)
Er (0.7867, 0.9367, 0.0735)
Er (0.9243, 0.1921, 0.4618)
Er (0.9243, 0.3079, 0.9618)
Pb (0.4036, 0.7502, 0.4530)
Pb (0.4036, 0.7498, 0.9530)
Pb (0.5964, 0.2502, 0.0470)
Pb (0.5964, 0.2498, 0.5470)

---

So which one wins? Going from most stable to least: i, ii.

---

i.
The following is a DFT calculation (PBE) of an optimized crystal structure of HoEr2Pb3.

Summary:
crystal system = monoclinic
calculated density = 11.12 Mg/m³

a b c (Å): 8.9948 8.9948 6.3665
angles (deg): 100.15 100.15 41.44
Sites, in units of the cell vectors:
Ho (0.1255, 0.8745, 0.7500)
Ho (0.8745, 0.1255, 0.2500)
Er (0.2087, 0.4580, 0.9172)
Er (0.4580, 0.2087, 0.4172)
Er (0.5420, 0.7913, 0.5828)
Er (0.7913, 0.5420, 0.0828)
Pb (0.0427, 0.2912, 0.5839)
Pb (0.2912, 0.0427, 0.0839)
Pb (0.3751, 0.6249, 0.2500)
Pb (0.6249, 0.3751, 0.7500)
Pb (0.7088, 0.9573, 0.9161)
Pb (0.9573, 0.7088, 0.4161)

---

ii.
The following is a DFT calculation (PBE) of an optimized crystal structure of HoEr2Pb3.

Summary:
crystal system = monoclinic
calculated density = 11.06 Mg/m³

a b c (Å): 9.0233 9.0233 6.3795
angles (deg): 100.02 100.02 41.28
Sites, in units of the cell vectors:
Ho (0.1188, 0.8812, 0.7500)
Ho (0.8812, 0.1188, 0.2500)
Er (0.2150, 0.4515, 0.4059)
Er (0.4515, 0.2150, 0.9059)
Er (0.5485, 0.7850, 0.0941)
Er (0.7850, 0.5485, 0.5941)
Pb (0.0554, 0.2771, 0.0780)
Pb (0.2771, 0.0554, 0.5780)
Pb (0.3844, 0.6156, 0.2500)
Pb (0.6156, 0.3844, 0.7500)
Pb (0.7229, 0.9446, 0.4220)
Pb (0.9446, 0.7229, 0.9220)

---

So which one wins? Going from most stable to least: i, ii.

---

i.
The following is a DFT calculation (PBE) of an optimized crystal structure of HoErTlPb.

Summary:
crystal system = tetragonal
calculated density = 11.31 Mg/m³

a b c (Å): 5.6264 5.6264 5.6264
angles (deg): 127.34 127.34 77.70
Sites, in units of the cell vectors:
Ho (0.0000, 0.0000, 0.0000)
Er (0.5000, 0.5000, 0.0000)
Tl (0.7500, 0.2500, 0.5000)
Pb (0.2500, 0.7500, 0.5000)

---

ii.
The following is a DFT calculation (PBE) of an optimized crystal structure of HoErTlPb.

Summary:
crystal system = cubic
calculated density = 11.20 Mg/m³

a b c (Å): 5.3831 5.3831 5.3831
angles (deg): 60.00 60.00 60.00
Sites, in units of the cell vectors:
Ho (0.0000, 0.0000, 0.0000)
Er (0.5000, 0.5000, 0.5000)
Tl (0.2500, 0.2500, 0.2500)
Pb (0.7500, 0.7500, 0.7500)

---

So which one wins? Going from most stable to least: i, ii.

---

i.
The following is a DFT calculation (PBE) of an optimized crystal structure of Ho3Er2Pd2.

Summary:
crystal system = monoclinic
calculated density = 9.25 Mg/m³

a b c (Å): 6.5462 6.5462 10.0681
angles (deg): 124.91 124.91 32.72
Sites, in units of the cell vectors:
Ho (0.0000, 0.0000, 0.0000)
Ho (0.1553, 0.1553, 0.7091)
Ho (0.8447, 0.8447, 0.2909)
Er (0.3878, 0.3878, 0.6256)
Er (0.6122, 0.6122, 0.3744)
Pd (0.3595, 0.3595, 0.0734)
Pd (0.6405, 0.6405, 0.9266)

---

ii.
The following is a DFT calculation (PBE) of an optimized crystal structure of Ho3Er2Pd2.

Summary:
crystal system = monoclinic
calculated density = 9.47 Mg/m³

a b c (Å): 6.4158 6.4158 9.0238
angles (deg): 115.40 115.40 33.38
Sites, in units of the cell vectors:
Ho (0.0000, 0.0000, 0.0000)
Ho (0.1129, 0.1129, 0.4396)
Ho (0.8871, 0.8871, 0.5604)
Er (0.3418, 0.3418, 0.1864)
Er (0.6582, 0.6582, 0.8136)
Pd (0.3276, 0.3276, 0.7650)
Pd (0.6724, 0.6724, 0.2350)

---

So which one wins? Going from most stable to least: ii, i.